A plane-wave DFT calculation with PBE was carried out for CsAsN2F after structural relaxation.

a = 3.837 Å, b = 3.837 Å, c = 5.711 Å
α = 90.00°, β = 90.00°, γ = 90.00°
Atoms (fractional coordinates):
Cs1 0.000 0.000 0.000
As1 0.500 0.500 0.500
N1 0.000 0.500 0.500
N2 0.500 0.000 0.500
F1 0.500 0.500 0.000

Properties
* formation energy (no corrections): 0.1717 eV per atom